Nd2CoPt: optimized geometry, PBE.

Results
ρ in kg/m³: 10105
ΔH_f (0 K) in meV per atom: -497
DOS at the Fermi energy in states/eV/f.u.: 1.7

CIF file:
```
data_Nd2CoPt
_cell_length_a 3.536
_cell_length_b 3.536
_cell_length_c 7.128
_cell_angle_alpha 90.00
_cell_angle_beta 90.00
_cell_angle_gamma 90.00
_space_group_name_H-M_alt 'P 4/m m m'
_space_group_IT_number 123
_space_group_name_Hall '-P 4 2'
loop_
_atom_site_label
_atom_site_fract_x
_atom_site_fract_y
_atom_site_fract_z
Nd1 0.000 0.000 0.243
Co1 0.500 0.500 0.000
Pt1 0.500 0.500 0.500
```



Cs2RbGa2: optimized geometry, PBE.

Results
Offset from the most stable computed form in eV per atom: 0.031
ρ in kg/m³: 3034
ΔH_f (0 K) in meV per atom: 137
DOS at the Fermi energy in states/eV/f.u.: 3.7

CIF file:
```
data_Cs2RbGa2
_cell_length_a 4.186
_cell_length_b 4.186
_cell_length_c 30.651
_cell_angle_alpha 90.00
_cell_angle_beta 90.00
_cell_angle_gamma 90.00
_space_group_name_H-M_alt 'I 4/m m m'
_space_group_IT_number 139
_space_group_name_Hall '-I 4 2'
loop_
_atom_site_label
_atom_site_fract_x
_atom_site_fract_y
_atom_site_fract_z
Cs1 0.000 0.000 0.144
Rb1 0.000 0.000 0.500
Ga1 0.000 0.500 0.250
```



Pm4TeS2: optimized geometry, PBE.

Results
Formation energy from raw total energies in eV/atom: -1.539
ρ in kg/m³: 6748
DOS at the Fermi energy in states/eV/f.u.: 4.5

CIF file:
```
data_Pm4TeS2
_cell_length_a 4.081
_cell_length_b 13.357
_cell_length_c 13.935
_cell_angle_alpha 90.00
_cell_angle_beta 90.00
_cell_angle_gamma 90.00
_space_group_name_H-M_alt 'C m c m'
_space_group_IT_number 63
_space_group_name_Hall '-C 2c 2'
loop_
_atom_site_label
_atom_site_fract_x
_atom_site_fract_y
_atom_site_fract_z
Pm1 0.000 0.000 0.000
Pm2 0.000 0.270 0.114
Pm3 0.000 0.428 0.750
Te1 0.000 0.107 0.750
S1 0.000 0.365 0.561
```



Eu2GaH: optimized geometry, PBE.

Results
Offset from the most stable computed form in eV per atom: 0.082
ρ in kg/m³: 7128
DOS at the Fermi energy in states/eV/f.u.: 2.2

CIF file:
```
data_Eu2GaH
_cell_length_a 3.372
_cell_length_b 3.372
_cell_length_c 7.678
_cell_angle_alpha 90.00
_cell_angle_beta 90.00
_cell_angle_gamma 90.00
_space_group_name_H-M_alt 'P 4/m m m'
_space_group_IT_number 123
_space_group_name_Hall '-P 4 2'
loop_
_atom_site_label
_atom_site_fract_x
_atom_site_fract_y
_atom_site_fract_z
Eu1 0.000 0.000 0.222
Ga1 0.500 0.500 0.500
H1 0.500 0.500 0.000
```



TmScTlCu: optimized geometry, PBE.

Results
Offset from the most stable computed form in eV per atom: 0.000
ρ in kg/m³: 9181
ΔH_f (0 K) in meV per atom: -278
DOS at the Fermi energy in states/eV/f.u.: 3.4

CIF file:
```
data_TmScTlCu
_cell_length_a 3.456
_cell_length_b 3.456
_cell_length_c 7.296
_cell_angle_alpha 90.00
_cell_angle_beta 90.00
_cell_angle_gamma 90.00
_space_group_name_H-M_alt 'P 4 m m'
_space_group_IT_number 99
loop_
_space_group_symop_operation_xyz
'x,y,z'
'-y,x,z'
'-x,-y,z'
'y,-x,z'
'-x,y,z'
'y,x,z'
'x,-y,z'
'-y,-x,z'
loop_
_atom_site_label
_atom_site_fract_x
_atom_site_fract_y
_atom_site_fract_z
Tm1 0.000 0.000 0.000
Sc1 0.000 0.000 0.562
Tl1 0.500 0.500 0.295
Cu1 0.500 0.500 0.764
```



RbErMgF6: optimized geometry, PBE.

Results
Formation energy from raw total energies in eV/atom: -3.642
ρ in kg/m³: 3945
DOS at the Fermi energy in states/eV/f.u.: 0.0

CIF file:
```
data_RbErMgF6
_cell_length_a 7.567
_cell_length_b 8.016
_cell_length_c 10.854
_cell_angle_alpha 90.00
_cell_angle_beta 90.00
_cell_angle_gamma 90.00
_space_group_name_H-M_alt 'I m m a'
_space_group_IT_number 74
_space_group_name_Hall '-I 2b 2'
loop_
_atom_site_label
_atom_site_fract_x
_atom_site_fract_y
_atom_site_fract_z
Rb1 0.000 0.250 0.052
Er1 0.000 0.000 0.500
Mg1 0.250 0.250 0.750
F1 0.000 0.250 0.419
F2 0.000 0.250 0.792
F3 0.215 0.073 0.618
```



TePdI3: optimized geometry, PBE.

Results
Formation energy from raw total energies in eV/atom: -0.101
Offset from the most stable computed form in eV per atom: 0.000
ρ in kg/m³: 5213
DOS at the Fermi energy in states/eV/f.u.: 1.6

CIF file:
```
data_TePdI3
_cell_length_a 3.955
_cell_length_b 7.228
_cell_length_c 14.543
_cell_angle_alpha 99.65
_cell_angle_beta 96.49
_cell_angle_gamma 104.44
_space_group_name_H-M_alt 'P 1'
_space_group_IT_number 1
loop_
_space_group_symop_operation_xyz
'x,y,z'
loop_
_atom_site_label
_atom_site_fract_x
_atom_site_fract_y
_atom_site_fract_z
Te1 0.000 0.000 0.000
Te2 0.182 0.398 0.062
Pd1 0.080 0.766 0.366
Pd2 0.103 0.632 0.696
I1 0.076 0.906 0.180
I2 0.106 0.492 0.882
I3 0.439 0.506 0.315
I4 0.463 0.390 0.623
I5 0.720 0.007 0.439
I6 0.744 0.891 0.747
```



LaRe2Ni: optimized geometry, PBE.

Results
Offset from the most stable computed form in eV per atom: 0.513
ρ in kg/m³: 12443
ΔH_f (0 K) in meV per atom: 606
DOS at the Fermi energy in states/eV/f.u.: 5.3

CIF file:
```
data_LaRe2Ni
_cell_length_a 3.249
_cell_length_b 5.155
_cell_length_c 9.083
_cell_angle_alpha 90.00
_cell_angle_beta 90.00
_cell_angle_gamma 90.00
_space_group_name_H-M_alt 'I m m 2'
_space_group_IT_number 44
loop_
_space_group_symop_operation_xyz
'x,y,z'
'-x,-y,z'
'-x,y,z'
'x,-y,z'
'x+1/2,y+1/2,z+1/2'
'-x+1/2,-y+1/2,z+1/2'
'-x+1/2,y+1/2,z+1/2'
'x+1/2,-y+1/2,z+1/2'
loop_
_atom_site_label
_atom_site_fract_x
_atom_site_fract_y
_atom_site_fract_z
La1 0.000 0.000 0.000
Re1 0.000 0.000 0.502
Re2 0.000 0.500 0.798
Ni1 0.000 0.500 0.216
```